[1]
The following is a DFT calculation (PBE) of a relaxed Ca2ZrAl crystal.

Calculated values
Energy of formation from the pure elements ... 0.0909 eV per atom

Lattice parameters (Å, degrees): 6.5936 6.5936 5.4437 65.65 65.65 31.50
Closest atoms and distances in Å follow each position.
Positions (direct):
Ca (0.9664, 0.9664, 0.0336)  2 Al 3.21, 4 Zr 3.37, 2 Ca 3.58
Ca (0.7564, 0.7564, 0.7436)  4 Al 3.27, 4 Ca 3.58-3.64
Al (0.2344, 0.2344, 0.2656)  2 Zr 2.83
Zr (0.5428, 0.5428, 0.4572)  2 Al 2.83

***

[2]
The following is a DFT calculation (PBE) of a relaxed CaZrAl2 crystal.

Calculated values
Energy of formation from the pure elements ... -0.2141 eV per atom

Lattice parameters (Å, degrees): 5.1319 5.1319 3.2357 90.00 90.00 90.00
Closest atoms and distances in Å follow each position.
Positions (direct):
Ca (0.5000, 0.0000, 0.5000)  8 Al 3.03, 2 Ca 3.24
Al (0.0000, 0.0000, 0.0000)  4 Ca 3.03, 4 Zr 3.03, 2 Al 3.24
Al (0.5000, 0.5000, 0.0000)  4 Zr 3.03, 4 Ca 3.03, 2 Al 3.24
Zr (0.0000, 0.5000, 0.5000)  8 Al 3.03, 2 Zr 3.24

***

[3]
The following is a DFT calculation (PBE) of a relaxed CaZr2Al crystal.

Calculated values
Energy of formation from the pure elements ... 0.4144 eV per atom

Lattice parameters (Å, degrees): 4.2852 4.2852 11.2023 78.97 78.97 90.00
Closest atoms and distances in Å follow each position.
Positions (direct):
Ca (0.0000, 0.0000, 0.0000)  4 Al 3.03, 4 Zr 3.13
Ca (0.7500, 0.2500, 0.5000)  4 Al 3.03, 4 Zr 3.13
Al (0.5000, 0.5000, 0.0000)  4 Ca 3.03, 4 Zr 3.06
Al (0.2500, 0.7500, 0.5000)  4 Ca 3.03, 4 Zr 3.06
Zr (0.6035, 0.1250, 0.2500)  4 Zr 2.90-3.16, 2 Al 3.06, 2 Ca 3.13
Zr (0.1465, 0.6250, 0.2500)  4 Zr 2.90-3.16, 2 Al 3.06, 2 Ca 3.13
Zr (0.3750, 0.3965, 0.7500)  4 Zr 2.90-3.16, 2 Al 3.06, 2 Ca 3.13
Zr (0.8750, 0.8535, 0.7500)  4 Zr 2.90-3.16, 2 Al 3.06, 2 Ca 3.13

***

[4]
The following is a DFT calculation (PBE) of a relaxed Ca2ZrAl crystal.

Calculated values
Energy of formation from the pure elements ... 0.1295 eV per atom

Lattice parameters (Å, degrees): 4.5579 4.5579 5.0504 90.00 90.00 90.00
Closest atoms and distances in Å follow each position.
Positions (direct):
Ca (0.0000, 0.0000, 0.0000)  4 Ca 3.22, 4 Zr 3.40, 4 Al 3.40
Ca (0.5000, 0.5000, 0.0000)  4 Ca 3.22, 4 Zr 3.40, 4 Al 3.40
Al (0.0000, 0.5000, 0.5000)  4 Zr 3.22, 8 Ca 3.40
Zr (0.5000, 0.0000, 0.5000)  4 Al 3.22, 8 Ca 3.40

***

| no. | VASP energy (eV per cell) |
| --- | --- |
| 1 | -15.930 |
| 2 | -18.891 |
| 3 | -42.366 |
| 4 | -15.776 |